Record 1
4
Lattice="4.5906 0.0000 0.0000 -2.2953 3.9830 0.0390 0.0000 2.6085 3.7775" Properties=species:S:1:pos:R:3 comment="LiTcHg2, relaxed, DFT GGA-PBEsol" e_form_mev_per_atom=291 relative_energy_mev_per_atom=194 dft_energy_ev_per_cell=-13.20 m_tot_mub_per_fu=1.77 pbc="T T T"
Hg 0.0000 2.6436 0.9639
Hg 2.2953 3.9479 2.8526
Li 0.0000 0.0000 0.0000
Tc 2.2953 1.3043 1.8888



Record 2
19
Lattice="6.6528 -0.0169 -0.0151 0.8453 6.5989 -0.0151 0.8453 0.7420 6.5571" Properties=species:S:1:pos:R:3 comment="Tb2Zn17, relaxed, DFT GGA-PBEsol" e_form_mev_per_atom=-265 dft_energy_ev_per_cell=-41.94 m_tot_mub_per_fu=0.00 pbc="T T T"
Tb 2.8003 2.4582 2.1906
Tb 5.5431 4.8658 4.3363
Zn 3.3465 2.9376 5.4910
Zn 2.5679 4.6365 -0.0151
Zn 4.9302 0.2082 1.9344
Zn 0.8453 4.8616 1.9344
Zn 4.9302 1.9455 -0.0151
Zn 4.9970 1.5323 4.2386
Zn 7.5117 6.5939 5.8763
Zn 0.8453 2.4793 4.6076
Zn 0.4227 3.2995 -0.0075
Zn 2.1669 4.7563 4.2386
Zn 4.9970 4.3864 1.0359
Zn 0.8317 0.7300 0.6506
Zn 6.1765 2.5677 2.2883
Zn 3.3465 5.7917 2.2883
Zn 2.5679 0.5169 4.6076
Zn 0.4227 0.3710 3.2785
Zn 3.3264 -0.0085 -0.0075



Record 3
5
Lattice="4.4834 0.0000 0.0000 0.0000 4.6979 0.0000 0.0000 0.0000 4.6979" Properties=species:S:1:pos:R:3 comment="LaTlNF2, relaxed, DFT GGA-PBEsol" dft_energy_ev_per_cell=-29.57 m_tot_mub_per_fu=0.00 formation_energy_uncorrected_kj_per_mol_atoms=-177.9 pbc="T T T"
N 2.2417 0.0000 0.0000
Tl 2.2417 2.3489 2.3489
F 0.0000 0.0000 2.3489
F 0.0000 2.3489 0.0000
La 0.0000 0.0000 0.0000



Record 4
5
Lattice="-0.2786 2.8921 3.2470 -3.7919 -1.7539 1.2369 2.1281 -2.7467 2.6290" Properties=species:S:1:pos:R:3 comment="LiCu3Ni, relaxed, DFT GGA-PBEsol" e_form_mev_per_atom=706 dft_energy_ev_per_cell=-17.60 m_tot_mub_per_fu=0.01 pbc="T T T"
Ni 0.0000 0.0000 0.0000
Cu -1.8960 -0.8770 0.6185
Cu 1.0640 -1.3734 1.3145
Cu -0.1393 1.4460 1.6235
Li -0.9712 -0.8043 3.5565



Record 5
5
Lattice="3.5464 0.0000 0.0000 0.0000 3.5464 0.0000 -1.7732 -1.7732 5.5337" Properties=species:S:1:pos:R:3 comment="CrAg2O2, relaxed, DFT GGA-PBEsol" dft_energy_ev_per_cell=-24.85 m_tot_mub_per_fu=3.85 formation_energy_uncorrected_kj_per_mol_atoms=48.5 pbc="T T T"
Cr 0.0000 0.0000 0.0000
O 0.0000 0.0000 4.4422
O 1.7732 1.7732 1.0915
Ag 0.0000 1.7732 2.7669
Ag 1.7732 0.0000 2.7669



Record 6
4
Lattice="2.7885 -0.0023 0.0000 -0.9346 2.6272 0.0000 0.0000 0.0000 8.5309" Properties=species:S:1:pos:R:3 comment="MgMo2P, relaxed, DFT GGA-PBEsol" e_form_mev_per_atom=119 relative_energy_mev_per_atom=135 dft_energy_ev_per_cell=-30.57 m_tot_mub_per_fu=0.00 pbc="T T T"
Mg 0.9270 1.3125 2.1835
Mo 0.0000 0.0000 8.4157
Mo 0.9270 1.3125 6.2983
P 0.0000 0.0000 4.4297



Record 7
4
Lattice="-0.7164 1.5769 -2.8122 2.9365 -2.6104 -2.2117 -4.7772 -4.3422 -1.2178" Properties=species:S:1:pos:R:3 comment="SrZrCl2, relaxed, DFT GGA-PBEsol" relative_energy_mev_per_atom=292 dft_energy_ev_per_cell=-18.54 m_tot_mub_per_fu=0.62 formation_energy_uncorrected_kj_per_mol_atoms=-86.8 pbc="T T T"
Sr 1.1100 -0.5167 -2.5120
Zr -0.9204 -3.4763 -1.7147
Cl 0.0000 0.0000 0.0000
Cl -2.7468 -1.3827 -2.0150



Record 8
4
Lattice="5.0095 0.0000 0.0000 2.5047 4.3383 0.0000 2.5047 1.4461 4.0902" Properties=species:S:1:pos:R:3 comment="NdErZn2, relaxed, DFT GGA-PBEsol" e_form_mev_per_atom=-314 dft_energy_ev_per_cell=-14.51 m_tot_mub_per_fu=0.00 pbc="T T T"
Zn 2.5047 1.4461 1.0226
Zn 7.5142 4.3383 3.0677
Nd 0.0000 0.0000 0.0000
Er 5.0095 2.8922 2.0451